Computed, not measured: a relaxed structure of PuPa2Rh9 at the PBE level of DFT.

```
data_PuPa2Rh9
_cell_length_a 4.054
_cell_length_b 4.054
_cell_length_c 12.147
_cell_angle_alpha 90.00
_cell_angle_beta 90.00
_cell_angle_gamma 90.00
_symmetry_space_group_name_H-M 'P 4/m m m'
_symmetry_Int_Tables_number 123
_symmetry_space_group_name_Hall '-P 4 2'
loop_
_atom_site_label
_atom_site_type_symbol
_atom_site_fract_x
_atom_site_fract_y
_atom_site_fract_z
_atom_site_occupancy
Pu1 Pu 0.000 0.000 0.000 1
Pa1 Pa 0.000 0.000 0.332 1
Rh1 Rh 0.000 0.500 0.166 1
Rh2 Rh 0.000 0.500 0.500 1
Rh3 Rh 0.500 0.500 0.000 1
Rh4 Rh 0.500 0.500 0.334 1
```

Values from the calculation:
Its density is 13.6 g/cm³. Its total magnetic moment is 2.748 Bohr magnetons per cell. The calculation puts the calculated formation energy at -721 meV per atom.